A relaxed Ho2MnSi4Pt3 crystal, computed with PBE.

```
10
Lattice="4.086 0.000 0.000 0.000 4.086 0.000 0.000 0.000 10.194" Properties=species:S:1:pos:R:3 pbc="T T T"
Ho 2.043 0.000 2.570
Ho 0.000 2.043 7.625
Mn 2.043 2.043 5.097
Pt 2.043 0.000 8.887
Pt 0.000 2.043 1.308
Pt 0.000 0.000 5.097
Si 2.043 0.000 6.476
Si 0.000 0.000 0.000
Si 2.043 2.043 0.000
Si 0.000 2.043 3.719
```

Calculated values
symmetry	P-4m2, No. 115
ΔE_f (raw)	-0.972	eV/atom

=====

A relaxed HoPu2Mn9 crystal, computed with PBE.

```
12
Lattice="-1.483 -4.270 -2.329 -2.501 -3.580 2.605 -8.424 0.916 -1.867" Properties=species:S:1:pos:R:3 pbc="T T T"
Ho 0.000 0.000 0.000
Mn -7.484 -2.074 -2.534
Mn -6.204 -3.467 -0.796
Mn -8.705 -3.823 -1.262
Mn -4.426 -5.197 -1.467
Mn -11.033 -4.341 -1.670
Mn -7.981 -1.737 -0.124
Mn -1.374 -2.594 0.079
Mn -4.924 -4.860 0.943
Mn -3.702 -3.111 -0.329
Pu -7.116 -6.290 -0.589
Pu -5.291 -0.644 -1.002
```

Calculated values
formation energy from the elements	0.085	eV per atom
symmetry	R-3m, No. 166

=====

A relaxed Ho2PuMn2 crystal, computed with PBE.

```
5
Lattice="-2.413 -0.409 3.315 1.637 0.192 3.777 -1.527 8.390 2.484" Properties=species:S:1:pos:R:3 pbc="T T T"
Ho -0.871 2.212 4.761
Ho -1.433 5.961 4.815
Mn -0.344 0.500 2.372
Mn -1.959 7.673 7.204
Pu 0.000 0.000 0.000
```

Calculated values
formation energy from the elements	0.134	eV per atom
symmetry	R-3m, No. 166

=====

A relaxed HoPu2MnSe5 crystal, computed with PBE.

```
18
Lattice="4.042 0.000 0.000 -2.021 8.656 0.000 0.000 0.000 12.523" Properties=species:S:1:pos:R:3 pbc="T T T"
Se 0.000 0.789 0.912
Se 2.021 0.077 3.478
Se 2.021 3.682 2.037
Se 0.000 8.580 9.739
Se 0.000 4.974 8.298
Se 0.000 6.268 0.008
Se 2.021 7.867 7.174
Se 2.021 3.245 10.593
Se 2.021 2.389 6.270
Se 0.000 5.412 4.331
Pu 2.021 6.724 2.349
Pu 0.000 1.933 8.610
Pu 2.021 6.399 10.038
Pu 0.000 2.258 3.777
Mn 0.000 8.507 5.904
Mn 2.021 0.149 12.166
Ho 2.021 5.210 6.309
Ho 0.000 3.446 0.047
```

Calculated values
symmetry	Cmc2_1, No. 36
ΔE_f (raw)	-1.319	eV/atom